A relaxed NaHI2F crystal, computed with GGA-PBEsol.

It has space group P4/mmm (No. 123), with a = 5.299 Å, b = 5.299 Å, c = 4.471 Å, α = 90.00°, β = 90.00° and γ = 90.00°. Symmetry generates all atoms from Na at (0.000, 0.000, 0.000), H at (0.500, 0.500, 0.000), I at (0.000, 0.500, 0.500) and F at (0.000, 0.000, 0.500).

As for the total magnetization: 1.05 Bohr magnetons per cell. Its crystal system is tetragonal. As for the total energy: -2.24 eV per atom. As for the calculated volume: 25.11 Å³/atom.